Crystalline ScCrPbSe2 at its relaxed geometry. Source: Alexandria, functional PBEsol.

abc: 4.7689 4.7689 4.7453
angles: 90.00 90.00 90.00
With the nearest neighbours (Å) after each atom.
Positions (direct):
Sc1 0.0000 0.0000 0.0000  2 Cr 2.37
Cr1 0.0000 0.0000 0.5000  2 Sc 2.37, 4 Se 2.38
Pb1 0.5000 0.5000 0.0000  8 Se 3.36, 4 Sc 3.37
Se1 0.0000 0.5000 0.5000  2 Cr 2.38
Se2 0.5000 0.0000 0.5000  2 Cr 2.38

DFT total energy, eV per atom: -5.698
SG: P4/mmm
E_form (uncorrected), meV/atom: 11